1.
Material: TlPdCl2
Method: DFT, PBE
State: optimized geometry

The space group is R-3m (No. 166, hexagonal axes) and the conventional cell measures 3.7205, 3.7205 and 27.1449 Å, with angles of 90.00, 90.00 and 120.00 degrees. The distinct sites, in fractional coordinates, are Tl at (0.0000, 0.0000, 0.0000), Pd at (0.0000, 0.0000, 0.5000) and Cl at (0.0000, 0.0000, 0.1138).

As for the final energy: -3.086 eV per atom. For the magnetization, the calculation gives 0.346 μB per atom.

2.
Material: Tl4Pd3Cl10
Method: DFT, PBE
State: optimized geometry

The space group is I4/mmm (No. 139) and the conventional cell measures 4.9950, 4.9950 and 35.5196 Å, with angles of 90.00, 90.00 and 90.00 degrees. The distinct sites, in fractional coordinates, are Tl at (0.0000, 0.0000, 0.0678), Tl at (0.0000, 0.0000, 0.2000), Pd at (0.0000, 0.0000, 0.3601), Pd at (0.0000, 0.0000, 0.5000), Cl at (0.0000, 0.0000, 0.2915), Cl at (0.0000, 0.0000, 0.4283), Cl at (0.0000, 0.5000, 0.0000) and Cl at (0.0000, 0.5000, 0.1392).

As for the final energy: -3.280 eV per atom. For the magnetization, the calculation gives 0.000 μB per atom.

3.
Material: Tl4PdCl2
Method: DFT, PBE
State: optimized geometry

The space group is I4/mmm (No. 139) and the conventional cell measures 5.3532, 5.3532 and 16.4740 Å, with angles of 90.00, 90.00 and 90.00 degrees. The distinct sites, in fractional coordinates, are Tl at (0.0000, 0.0000, 0.1694), Tl at (0.0000, 0.5000, 0.0000), Pd at (0.0000, 0.0000, 0.0000) and Cl at (0.0000, 0.0000, 0.3565).

As for the final energy: -3.117 eV per atom. For the magnetization, the calculation gives 0.000 μB per atom.

4.
Material: Tl2PdCl8
Method: DFT, PBE
State: optimized geometry

The space group is C2/m (No. 12) and the conventional cell measures 13.4538, 6.8610 and 9.1912 Å, with angles of 90.00, 106.70 and 90.00 degrees. The distinct sites, in fractional coordinates, are Tl at (0.2405, 0.0000, 0.3202), Pd at (0.0000, 0.0000, 0.0000), Cl at (0.0932, 0.5000, 0.7224), Cl at (0.1104, 0.2377, 0.1354) and Cl at (0.1952, 0.0000, 0.5582).

As for the final energy: -2.839 eV per atom. For the magnetization, the calculation gives 0.018 μB per atom.

5.
Material: Tl2PdCl2
Method: DFT, PBE
State: optimized geometry

The space group is I4/mmm (No. 139) and the conventional cell measures 6.2770, 6.2770 and 8.0694 Å, with angles of 90.00, 90.00 and 90.00 degrees. The distinct sites, in fractional coordinates, are Tl at (0.0000, 0.5000, 0.2500), Pd at (0.0000, 0.0000, 0.0000) and Cl at (0.0000, 0.0000, 0.2877).

As for the final energy: -3.242 eV per atom. For the magnetization, the calculation gives 0.000 μB per atom.

6.
Material: Tl4PdCl6
Method: DFT, PBE
State: optimized geometry

The space group is P4/mnc (No. 128) and the conventional cell measures 8.4985, 8.4985 and 9.2076 Å, with angles of 90.00, 90.00 and 90.00 degrees. The distinct sites, in fractional coordinates, are Tl at (0.1577, 0.3423, 0.2500), Pd at (0.0000, 0.0000, 0.0000), Cl at (0.0000, 0.0000, 0.2760) and Cl at (0.1230, 0.7204, 0.0000).

As for the final energy: -3.160 eV per atom. For the magnetization, the calculation gives 0.182 μB per atom.

- What is the formula in the first record?
  TlPdCl2